Record 1
# ScTlRh3

Crystalline ScTlRh3 at its relaxed geometry (PBE, Alexandria via LeMat-Bulk).

Properties
Formation energy from the elements (eV per atom): 0.60
Spin magnetization (μB per atom): 0.136
Energy above the lowest structure with this stoichiometry (meV/atom): 0

abc: 4.6872 4.6872 4.6872
angles: 90.00 90.00 90.00
Element x y z (fractional)
Sc (0.0000, 0.0000, 0.0000)
Tl (0.5000, 0.5000, 0.5000)
Rh (0.0000, 0.5000, 0.0000)
Rh (0.0000, 0.0000, 0.5000)
Rh (0.5000, 0.0000, 0.0000)

Record 2
# ScTl3Rh

Crystalline ScTl3Rh at its relaxed geometry (PBE, Alexandria via LeMat-Bulk).

Properties
Formation energy from the elements (eV per atom): 0.29
Spin magnetization (μB per atom): 0.000
Energy above the lowest structure with this stoichiometry (meV/atom): 0

abc: 5.1954 5.1954 5.1954
angles: 90.00 90.00 90.00
Element x y z (fractional)
Sc (0.5000, 0.5000, 0.5000)
Tl (0.0000, 0.5000, 0.0000)
Tl (0.0000, 0.0000, 0.5000)
Tl (0.5000, 0.0000, 0.0000)
Rh (0.0000, 0.0000, 0.0000)

Record 3
# ScTl2Rh

Crystalline ScTl2Rh at its relaxed geometry (PBE, Alexandria via LeMat-Bulk).

Properties
Formation energy from the elements (eV per atom): -0.15
Spin magnetization (μB per atom): 0.000

abc: 9.5849 9.5849 9.5849
angles: 20.21 20.21 20.21
Element x y z (fractional)
Rh (0.4916, 0.4916, 0.4916)
Sc (0.7641, 0.7641, 0.7641)
Tl (0.0054, 0.0054, 0.0054)
Tl (0.2389, 0.2389, 0.2389)

Record 4
# Sc6Tl2Rh

Crystalline Sc6Tl2Rh at its relaxed geometry (PBE, Alexandria via LeMat-Bulk).

Properties
Formation energy from the elements (eV per atom): -0.20
Spin magnetization (μB per atom): 0.000

abc: 4.7657 6.8138 8.1690
angles: 114.65 106.95 90.00
Element x y z (fractional)
Sc (0.1537, 0.3911, 0.3075)
Sc (0.8463, 0.0836, 0.6925)
Sc (0.8463, 0.6089, 0.6925)
Sc (0.5000, 0.2251, 0.0000)
Sc (0.1537, 0.9164, 0.3075)
Sc (0.5000, 0.7749, 0.0000)
Tl (0.6675, 0.6675, 0.3351)
Tl (0.3325, 0.3325, 0.6649)
Rh (0.0000, 0.0000, 0.0000)

Record 5
# Sc2TlRh

Crystalline Sc2TlRh at its relaxed geometry (PBE, Alexandria via LeMat-Bulk).

Properties
Formation energy from the elements (eV per atom): -0.51
Spin magnetization (μB per atom): 0.000
Energy above the lowest structure with this stoichiometry (meV/atom): 125

abc: 5.0360 5.0360 4.9856
angles: 60.34 60.34 49.64
Element x y z (fractional)
Rh (0.2500, 0.2500, 0.2500)
Sc (0.9716, 0.9716, 0.0284)
Sc (0.5284, 0.5284, 0.4716)
Tl (0.7500, 0.7500, 0.7500)

Record 6
# Sc2TlRh

Crystalline Sc2TlRh at its relaxed geometry (PBE, Alexandria via LeMat-Bulk).

Properties
Formation energy from the elements (eV per atom): -0.49
Spin magnetization (μB per atom): 0.000
Energy above the lowest structure with this stoichiometry (meV/atom): 148

abc: 4.5150 3.3298 5.7397
angles: 73.12 90.00 90.00
Element x y z (fractional)
Rh (0.5000, 0.5278, 0.8170)
Sc (0.0000, 0.9731, 0.9287)
Sc (0.5000, 0.2987, 0.2794)
Tl (0.0000, 0.7004, 0.4749)

Record 7
# Sc3TlRh

Crystalline Sc3TlRh at its relaxed geometry (PBE, Alexandria via LeMat-Bulk).

Properties
Formation energy from the elements (eV per atom): 0.81
Spin magnetization (μB per atom): 0.000
Energy above the lowest structure with this stoichiometry (meV/atom): 1287

abc: 5.2421 5.2421 5.2421
angles: 90.00 90.00 90.00
Element x y z (fractional)
Sc (0.0000, 0.5000, 0.0000)
Sc (0.0000, 0.0000, 0.5000)
Sc (0.5000, 0.0000, 0.0000)
Tl (0.0000, 0.0000, 0.0000)
Rh (0.5000, 0.5000, 0.5000)

Record 8
# ScTl2Rh

Crystalline ScTl2Rh at its relaxed geometry (PBE, Alexandria via LeMat-Bulk).

Properties
Formation energy from the elements (eV per atom): 0.02
Spin magnetization (μB per atom): 0.000

abc: 8.9661 8.9661 8.9661
angles: 21.91 21.91 21.91
Element x y z (fractional)
Rh (0.2500, 0.2500, 0.2500)
Sc (0.7500, 0.7500, 0.7500)
Tl (0.9920, 0.9920, 0.9920)
Tl (0.5080, 0.5080, 0.5080)

Record 9
# Sc2Tl2Rh

Crystalline Sc2Tl2Rh at its relaxed geometry (PBE, Alexandria via LeMat-Bulk).

Properties
Formation energy from the elements (eV per atom): -0.15
Spin magnetization (μB per atom): 0.000
Energy above the lowest structure with this stoichiometry (meV/atom): 41

abc: 6.8624 6.8624 4.9726
angles: 90.00 90.00 90.00
Element x y z (fractional)
Sc (0.3362, 0.8362, 0.0000)
Sc (0.8362, 0.6638, 0.0000)
Sc (0.6638, 0.1638, 0.0000)
Sc (0.1638, 0.3362, 0.0000)
Tl (0.1628, 0.6628, 0.5000)
Tl (0.6628, 0.8372, 0.5000)
Tl (0.8372, 0.3372, 0.5000)
Tl (0.3372, 0.1628, 0.5000)
Rh (0.0000, 0.0000, 0.0000)
Rh (0.5000, 0.5000, 0.0000)

Record 10
# ScTl2Rh

Crystalline ScTl2Rh at its relaxed geometry (PBE, Alexandria via LeMat-Bulk).

Properties
Formation energy from the elements (eV per atom): -0.09
Spin magnetization (μB per atom): 0.094

abc: 3.4734 3.4744 6.8306
angles: 90.00 90.00 90.00
Element x y z (fractional)
Rh (0.5000, 0.5000, 0.2500)
Sc (0.5000, 0.5000, 0.7500)
Tl (0.0000, 0.0000, 0.0245)
Tl (0.0000, 0.0000, 0.4755)

Record 11
# Sc2Tl2Rh

Crystalline Sc2Tl2Rh at its relaxed geometry (PBE, Alexandria via LeMat-Bulk).

Properties
Formation energy from the elements (eV per atom): -0.19
Spin magnetization (μB per atom): 0.000
Energy above the lowest structure with this stoichiometry (meV/atom): 0

abc: 7.2796 7.2796 4.1141
angles: 90.00 90.00 90.00
Element x y z (fractional)
Sc (0.1664, 0.6664, 0.5000)
Sc (0.6664, 0.8336, 0.5000)
Sc (0.8336, 0.3336, 0.5000)
Sc (0.3336, 0.1664, 0.5000)
Tl (0.3577, 0.8577, 0.0000)
Tl (0.8577, 0.6423, 0.0000)
Tl (0.6423, 0.1423, 0.0000)
Tl (0.1423, 0.3577, 0.0000)
Rh (0.0000, 0.0000, 0.0000)
Rh (0.5000, 0.5000, 0.0000)

Record 12
# ScTl2Rh

Crystalline ScTl2Rh at its relaxed geometry (PBE, Alexandria via LeMat-Bulk).

Properties
Formation energy from the elements (eV per atom): -0.08
Spin magnetization (μB per atom): 0.000

abc: 4.9231 4.9231 4.9231
angles: 60.00 60.00 60.00
Element x y z (fractional)
Rh (0.5000, 0.5000, 0.5000)
Sc (0.7500, 0.7500, 0.7500)
Tl (0.0000, 0.0000, 0.0000)
Tl (0.2500, 0.2500, 0.2500)

Record 13
# ScTl4Rh

Crystalline ScTl4Rh at its relaxed geometry (PBE, Alexandria via LeMat-Bulk).

Properties
Formation energy from the elements (eV per atom): 0.53
Spin magnetization (μB per atom): 0.000

abc: 6.0271 6.0271 6.0271
angles: 60.00 60.00 60.00
Element x y z (fractional)
Sc (0.0000, 0.0000, 0.0000)
Tl (0.8738, 0.3754, 0.3754)
Tl (0.3754, 0.3754, 0.8738)
Tl (0.3754, 0.8738, 0.3754)
Tl (0.3754, 0.3754, 0.3754)
Rh (0.7500, 0.7500, 0.7500)

Record 14
# ScTl2Rh

Crystalline ScTl2Rh at its relaxed geometry (PBE, Alexandria via LeMat-Bulk).

Properties
Formation energy from the elements (eV per atom): -0.11
Spin magnetization (μB per atom): 0.000

abc: 5.2696 5.2696 5.2696
angles: 130.27 130.27 72.97
Element x y z (fractional)
Rh (0.5000, 0.5000, 0.0000)
Sc (0.7500, 0.2500, 0.5000)
Tl (0.0000, 0.0000, 0.0000)
Tl (0.2500, 0.7500, 0.5000)

Record 15
# Sc2TlRh

Crystalline Sc2TlRh at its relaxed geometry (PBE, Alexandria via LeMat-Bulk).

Properties
Formation energy from the elements (eV per atom): -0.24
Spin magnetization (μB per atom): 0.000
Energy above the lowest structure with this stoichiometry (meV/atom): 396

abc: 7.6481 7.6481 6.1816
angles: 51.78 51.78 90.00
Element x y z (fractional)
Sc (0.5724, 0.1250, 0.2500)
Sc (0.1776, 0.6250, 0.2500)
Sc (0.3750, 0.4276, 0.7500)
Sc (0.8750, 0.8224, 0.7500)
Tl (0.0000, 0.0000, 0.0000)
Tl (0.7500, 0.2500, 0.5000)
Rh (0.5000, 0.5000, 0.0000)
Rh (0.2500, 0.7500, 0.5000)

Record 16
# Sc2TlRh

Crystalline Sc2TlRh at its relaxed geometry (PBE, Alexandria via LeMat-Bulk).

Properties
Formation energy from the elements (eV per atom): -0.46
Spin magnetization (μB per atom): 0.000
Energy above the lowest structure with this stoichiometry (meV/atom): 169

abc: 8.5855 8.5855 8.5855
angles: 23.51 23.51 23.51
Element x y z (fractional)
Rh (0.7500, 0.7500, 0.7500)
Sc (0.0162, 0.0162, 0.0162)
Sc (0.4838, 0.4838, 0.4838)
Tl (0.2500, 0.2500, 0.2500)

Record 17
# Sc8Tl2Rh

Crystalline Sc8Tl2Rh at its relaxed geometry (PBE, Alexandria via LeMat-Bulk).

Properties
Formation energy from the elements (eV per atom): -0.30
Spin magnetization (μB per atom): 0.182

abc: 5.0915 6.6214 8.4722
angles: 112.58 107.49 90.00
Element x y z (fractional)
Sc (0.3775, 0.6042, 0.7551)
Sc (0.6323, 0.8778, 0.2645)
Sc (0.8148, 0.8012, 0.6296)
Sc (0.9974, 0.2432, 0.9948)
Sc (0.1852, 0.1988, 0.3704)
Sc (0.3677, 0.1222, 0.7355)
Sc (0.6225, 0.3958, 0.2449)
Sc (0.0026, 0.7568, 0.0052)
Tl (0.8140, 0.3137, 0.6280)
Tl (0.1860, 0.6863, 0.3720)
Rh (0.5000, 0.0000, 0.0000)

Record 18
# Sc4TlRh5

Crystalline Sc4TlRh5 at its relaxed geometry (PBE, Alexandria via LeMat-Bulk).

Properties
Formation energy from the elements (eV per atom): -0.82
Spin magnetization (μB per atom): 0.000

abc: 3.2621 3.2621 16.0198
angles: 90.00 90.00 90.00
Element x y z (fractional)
Sc (0.0000, 0.0000, 0.2009)
Sc (0.0000, 0.0000, 0.4002)
Sc (0.0000, 0.0000, 0.5998)
Sc (0.0000, 0.0000, 0.7991)
Tl (0.0000, 0.0000, 0.0000)
Rh (0.5000, 0.5000, 0.1072)
Rh (0.5000, 0.5000, 0.3026)
Rh (0.5000, 0.5000, 0.5000)
Rh (0.5000, 0.5000, 0.6974)
Rh (0.5000, 0.5000, 0.8928)

Record 19
# ScTl2Rh

Crystalline ScTl2Rh at its relaxed geometry (PBE, Alexandria via LeMat-Bulk).

Properties
Formation energy from the elements (eV per atom): -0.26
Spin magnetization (μB per atom): 0.000

abc: 3.4877 3.2925 7.8007
angles: 90.00 90.00 90.00
Element x y z (fractional)
Rh (0.0000, 0.0000, 0.5392)
Sc (0.5000, 0.5000, 0.6989)
Tl (0.0000, 0.0000, 0.9709)
Tl (0.5000, 0.5000, 0.2909)

Record 20
# Sc3TlRh

Crystalline Sc3TlRh at its relaxed geometry (PBE, Alexandria via LeMat-Bulk).

Properties
Formation energy from the elements (eV per atom): -0.47
Spin magnetization (μB per atom): 0.000
Energy above the lowest structure with this stoichiometry (meV/atom): 0

abc: 5.4805 5.4805 8.4252
angles: 101.87 101.87 111.57
Element x y z (fractional)
Sc (0.2977, 0.7977, 0.0954)
Sc (0.7023, 0.2023, 0.9046)
Sc (0.0819, 0.1953, 0.2772)
Sc (0.9181, 0.8047, 0.7228)
Sc (0.6953, 0.5820, 0.2773)
Sc (0.3047, 0.4180, 0.7227)
Tl (0.7254, 0.2254, 0.5000)
Tl (0.2746, 0.7746, 0.5000)
Rh (0.2500, 0.2500, 0.0000)
Rh (0.7500, 0.7500, 0.0000)

Record 21
# Sc2TlRh

Crystalline Sc2TlRh at its relaxed geometry (PBE, Alexandria via LeMat-Bulk).

Properties
Formation energy from the elements (eV per atom): -0.34
Spin magnetization (μB per atom): 0.000
Energy above the lowest structure with this stoichiometry (meV/atom): 293

abc: 3.6738 3.6856 6.4318
angles: 90.00 90.00 90.00
Element x y z (fractional)
Rh (0.5000, 0.5000, 0.8315)
Sc (0.0000, 0.0000, 0.9379)
Sc (0.5000, 0.5000, 0.2410)
Tl (0.0000, 0.0000, 0.4896)

Record 22
# Sc2TlRh

Crystalline Sc2TlRh at its relaxed geometry (PBE, Alexandria via LeMat-Bulk).

Properties
Formation energy from the elements (eV per atom): -0.52
Spin magnetization (μB per atom): 0.000
Energy above the lowest structure with this stoichiometry (meV/atom): 111

abc: 4.8302 4.8302 4.8302
angles: 60.00 60.00 60.00
Element x y z (fractional)
Sc (0.2500, 0.2500, 0.2500)
Sc (0.7500, 0.7500, 0.7500)
Tl (0.5000, 0.5000, 0.5000)
Rh (0.0000, 0.0000, 0.0000)

Record 23
# Sc2TlRh

Crystalline Sc2TlRh at its relaxed geometry (PBE, Alexandria via LeMat-Bulk).

Properties
Formation energy from the elements (eV per atom): -0.45
Spin magnetization (μB per atom): 0.000
Energy above the lowest structure with this stoichiometry (meV/atom): 183

abc: 6.0440 6.0440 6.0440
angles: 148.48 133.74 57.06
Element x y z (fractional)
Rh (0.2412, 0.7412, 0.5000)
Sc (0.0417, 0.0417, 0.0000)
Sc (0.7508, 0.2508, 0.5000)
Tl (0.4664, 0.4664, 0.0000)

Record 24
# Sc3TlRh

Crystalline Sc3TlRh at its relaxed geometry (PBE, Alexandria via LeMat-Bulk).

Properties
Formation energy from the elements (eV per atom): -0.42
Spin magnetization (μB per atom): 0.060
Energy above the lowest structure with this stoichiometry (meV/atom): 56

abc: 6.8029 6.8029 6.8029
angles: 90.00 90.00 90.00
Element x y z (fractional)
Sc (0.5000, 0.5000, 0.5000)
Sc (0.2279, 0.2279, 0.2279)
Sc (0.7721, 0.7721, 0.2279)
Sc (0.7721, 0.2279, 0.7721)
Sc (0.2279, 0.7721, 0.7721)
Sc (0.2279, 0.2279, 0.7721)
Sc (0.7721, 0.7721, 0.7721)
Sc (0.2279, 0.7721, 0.2279)
Sc (0.7721, 0.2279, 0.2279)
Tl (0.0000, 0.5000, 0.5000)
Tl (0.5000, 0.0000, 0.5000)
Tl (0.5000, 0.5000, 0.0000)
Rh (0.5000, 0.0000, 0.0000)
Rh (0.0000, 0.5000, 0.0000)
Rh (0.0000, 0.0000, 0.5000)

Record 25
# Sc2TlRh

Crystalline Sc2TlRh at its relaxed geometry (PBE, Alexandria via LeMat-Bulk).

Properties
Formation energy from the elements (eV per atom): -0.29
Spin magnetization (μB per atom): 0.000
Energy above the lowest structure with this stoichiometry (meV/atom): 346

abc: 9.4667 9.4667 9.4667
angles: 21.92 21.92 21.92
Element x y z (fractional)
Sc (0.8887, 0.8887, 0.8887)
Sc (0.1113, 0.1113, 0.1113)
Tl (0.0000, 0.0000, 0.0000)
Rh (0.5000, 0.5000, 0.5000)

Record 26
# ScTl2Rh

Crystalline ScTl2Rh at its relaxed geometry (PBE, Alexandria via LeMat-Bulk).

Properties
Formation energy from the elements (eV per atom): -0.17
Spin magnetization (μB per atom): 0.000

abc: 5.8087 5.8087 4.9212
angles: 65.60 65.60 35.39
Element x y z (fractional)
Rh (0.5229, 0.5229, 0.4775)
Sc (0.2108, 0.2108, 0.2888)
Tl (0.9928, 0.9928, 0.0079)
Tl (0.7735, 0.7735, 0.7259)

Record 27
# ScTl2Rh2

Crystalline ScTl2Rh2 at its relaxed geometry (PBE, Alexandria via LeMat-Bulk).

Properties
Formation energy from the elements (eV per atom): -0.25
Spin magnetization (μB per atom): 0.000

abc: 6.9941 6.9941 4.0097
angles: 90.00 90.00 90.00
Element x y z (fractional)
Sc (0.0000, 0.0000, 0.0000)
Sc (0.5000, 0.5000, 0.0000)
Tl (0.1637, 0.6637, 0.5000)
Tl (0.6637, 0.8363, 0.5000)
Tl (0.8363, 0.3363, 0.5000)
Tl (0.3363, 0.1637, 0.5000)
Rh (0.3601, 0.8601, 0.0000)
Rh (0.8601, 0.6399, 0.0000)
Rh (0.6399, 0.1399, 0.0000)
Rh (0.1399, 0.3601, 0.0000)